(1)
Density functional theory data (GGA-PBE) for a relaxed structure of CrCuTe2.

abc: 3.8675 3.8675 12.2325
angles: 90.00 90.00 90.00
Space group I-4m2 (No. 119)
One atom of each set of equivalent atoms:
Cr1 0.0000 0.0000 0.0000 x2
Cu1 0.0000 0.5000 0.2500 x2
Te1 0.0000 0.0000 0.5000 x2
Te2 0.0000 0.5000 0.7500 x2

Computed properties:
formation energy from raw total energies	311	meV per atom
polymorph energy (0 for the lowest one)	0.332	eV/atom
DFT total energy	-4.690	eV/atom
spin magnetization	3.6	μB/f.u.


(2)
Density functional theory data (GGA-PBE) for a relaxed structure of CrCuTe2.

abc: 3.5131 3.5131 6.5617
angles: 90.00 90.00 90.00
Space group P4/mmm (No. 123)
One atom of each set of equivalent atoms:
Cr1 0.0000 0.0000 0.0000 x1
Cu1 0.0000 0.0000 0.5000 x1
Te1 0.5000 0.5000 0.2420 x2

Computed properties:
formation energy from raw total energies	316	meV per atom
polymorph energy (0 for the lowest one)	0.337	eV/atom
DFT total energy	-4.685	eV/atom
spin magnetization	2.8	μB/f.u.


(3)
Density functional theory data (GGA-PBE) for a relaxed structure of CrCu3Te.

abc: 4.8591 4.8591 4.8591
angles: 90.00 90.00 90.00
Space group Pm-3m (No. 221)
One atom of each set of equivalent atoms:
Cr1 0.0000 0.0000 0.0000 x1
Cu1 0.0000 0.5000 0.5000 x3
Te1 0.5000 0.5000 0.5000 x1

Computed properties:
formation energy from raw total energies	1028	meV per atom
polymorph energy (0 for the lowest one)	0.000	eV/atom
DFT total energy	-3.983	eV/atom
spin magnetization	5.1	μB/f.u.


(4)
Density functional theory data (GGA-PBE) for a relaxed structure of CrCuTe2.

abc: 4.0495 4.0495 23.3345
angles: 90.00 90.00 120.00
Space group R-3m (No. 166, hexagonal axes)
One atom of each set of equivalent atoms:
Cr1 0.0000 0.0000 0.0000 x3
Cu1 0.0000 0.0000 0.5000 x3
Te1 0.0000 0.0000 0.3948 x6

Computed properties:
formation energy from raw total energies	-21	meV per atom
polymorph energy (0 for the lowest one)	0.000	eV/atom
DFT total energy	-5.022	eV/atom
spin magnetization	3.0	μB/f.u.